(1)
Compound: YPuZn
Source: the Alexandria database
Functional: PBE
Structure: optimized geometry

**Distance to the lowest polymorph of the same formula**: 0.224 eV/atom
**D(E_F)**: 4.20 states/eV/f.u.
**Total moment**: 0.001 μB per cell
**Energy of formation from the pure elements**: 0.167 eV per atom
**Calculated volume**: 66.1 Å³/f.u.

Lattice parameters (Å, degrees): 3.306 23.599 3.390 90.00 90.00 90.00
Space group Cmcm (No. 63)
One atom of each set of equivalent atoms:
1 Y 0.000 0.121 0.250
2 Pu 0.000 0.236 0.750
3 Zn 0.000 0.460 0.250



(2)
Compound: YPuZn2
Source: the Alexandria database
Functional: PBE
Structure: optimized geometry

**Distance to the lowest polymorph of the same formula**: 0.016 eV/atom
**D(E_F)**: 5.72 states/eV/f.u.
**Total moment**: 24.876 μB per cell
**Energy of formation from the pure elements**: -0.177 eV per atom
**Calculated volume**: 91.4 Å³/f.u.

Lattice parameters (Å, degrees): 7.152 7.152 7.152 90.00 90.00 90.00
Space group Fm-3m (No. 225)
One atom of each set of equivalent atoms:
1 Y 0.000 0.000 0.000
2 Pu 0.000 0.000 0.500
3 Zn 0.250 0.250 0.250



(3)
Compound: YPuZn
Source: the Alexandria database
Functional: PBE
Structure: optimized geometry

**Distance to the lowest polymorph of the same formula**: 0.000 eV/atom
**D(E_F)**: 7.41 states/eV/f.u.
**Total moment**: 12.460 μB per cell
**Energy of formation from the pure elements**: -0.056 eV per atom
**Calculated volume**: 76.1 Å³/f.u.

Lattice parameters (Å, degrees): 3.501 3.501 12.419 90.00 90.00 90.00
Space group I4mm (No. 107)
One atom of each set of equivalent atoms:
1 Y 0.000 0.000 0.000
2 Pu 0.000 0.000 0.706
3 Zn 0.000 0.000 0.356



(4)
Compound: YPuZn17
Source: the Alexandria database
Functional: PBE
Structure: optimized geometry

**D(E_F)**: 15.11 states/eV/f.u.
**Total moment**: 16.492 μB per cell
**Energy of formation from the pure elements**: -0.189 eV per atom
**Calculated volume**: 308.0 Å³/f.u.

Lattice parameters (Å, degrees): 8.9871 8.9871 13.2079 90.00 90.00 120.00
Space group R3m (No. 160, hexagonal axes)
One atom of each set of equivalent atoms:
1 Y 0.0000 0.0000 0.0000
2 Pu 0.0000 0.0000 0.3302
3 Zn 0.0000 0.0000 0.5656
4 Zn 0.0000 0.0000 0.7649
5 Zn 0.0002 0.2967 0.6652
6 Zn 0.0008 0.5004 0.1649
7 Zn 0.0086 0.5043 0.8170
8 Zn 0.1722 0.3444 0.8472



(5)
Compound: Y5PuZn4
Source: the Alexandria database
Functional: PBE
Structure: optimized geometry

**D(E_F)**: 16.24 states/eV/f.u.
**Total moment**: 6.669 μB per cell
**Energy of formation from the pure elements**: -0.243 eV per atom
**Calculated volume**: 243.9 Å³/f.u.

Lattice parameters (Å, degrees): 3.565 3.565 19.192 90.00 90.00 90.00
Space group P4/mmm (No. 123)
One atom of each set of equivalent atoms:
1 Y 0.000 0.000 0.000
2 Y 0.000 0.000 0.187
3 Y 0.000 0.000 0.373
4 Pu 0.500 0.500 0.500
5 Zn 0.500 0.500 0.094
6 Zn 0.500 0.500 0.282



(6)
Compound: YPu2Zn9
Source: the Alexandria database
Functional: PBE
Structure: optimized geometry

**D(E_F)**: 13.78 states/eV/f.u.
**Total moment**: 33.099 μB per cell
**Energy of formation from the pure elements**: -0.209 eV per atom
**Calculated volume**: 218.6 Å³/f.u.

Lattice parameters (Å, degrees): 5.3631 5.3631 26.3262 90.00 90.00 120.00
Space group R-3m (No. 166, hexagonal axes)
One atom of each set of equivalent atoms:
1 Y 0.0000 0.0000 0.0000
2 Pu 0.0000 0.0000 0.1479
3 Zn 0.0000 0.0000 0.3353
4 Zn 0.0000 0.0000 0.5000
5 Zn 0.0035 0.5017 0.9188



(7)
Compound: YPuZn4
Source: the Alexandria database
Functional: PBE
Structure: optimized geometry

**D(E_F)**: 10.11 states/eV/f.u.
**Total moment**: 21.615 μB per cell
**Energy of formation from the pure elements**: -0.224 eV per atom
**Calculated volume**: 115.9 Å³/f.u.

Lattice parameters (Å, degrees): 7.740 7.740 7.740 90.00 90.00 90.00
Space group F-43m (No. 216)
One atom of each set of equivalent atoms:
1 Y 0.000 0.000 0.000
2 Pu 0.250 0.250 0.750
3 Zn 0.125 0.125 0.375



(8)
Compound: YPuZr2
Source: the Alexandria database
Functional: PBE
Structure: optimized geometry

**Distance to the lowest polymorph of the same formula**: 0.000 eV/atom
**D(E_F)**: 11.65 states/eV/f.u.
**Total moment**: 5.775 μB per cell
**Energy of formation from the pure elements**: 0.162 eV per atom
**Calculated volume**: 102.1 Å³/f.u.

Lattice parameters (Å, degrees): 4.665 4.665 4.690 90.00 90.00 90.00
Space group P4/mmm (No. 123)
One atom of each set of equivalent atoms:
1 Y 0.000 0.000 0.000
2 Pu 0.500 0.500 0.000
3 Zr 0.000 0.500 0.500



(9)
Compound: YPuZr2
Source: the Alexandria database
Functional: PBE
Structure: optimized geometry

**Distance to the lowest polymorph of the same formula**: 0.015 eV/atom
**D(E_F)**: 9.04 states/eV/f.u.
**Total moment**: 5.287 μB per cell
**Energy of formation from the pure elements**: 0.177 eV per atom
**Calculated volume**: 102.5 Å³/f.u.

Lattice parameters (Å, degrees): 3.801 3.801 7.093 90.00 90.00 90.00
Space group P4/mmm (No. 123)
One atom of each set of equivalent atoms:
1 Y 0.000 0.000 0.000
2 Pu 0.000 0.000 0.500
3 Zr 0.500 0.500 0.287



(10)
Compound: Y2PuZr
Source: the Alexandria database
Functional: PBE
Structure: optimized geometry

**Distance to the lowest polymorph of the same formula**: 0.035 eV/atom
**D(E_F)**: 13.96 states/eV/f.u.
**Total moment**: 5.608 μB per cell
**Energy of formation from the pure elements**: 0.191 eV per atom
**Calculated volume**: 112.0 Å³/f.u.

Lattice parameters (Å, degrees): 4.779 4.779 4.904 90.00 90.00 90.00
Space group P4/mmm (No. 123)
One atom of each set of equivalent atoms:
1 Y 0.000 0.500 0.000
2 Pu 0.000 0.000 0.500
3 Zr 0.500 0.500 0.500



(11)
Compound: Y2PuZr
Source: the Alexandria database
Functional: PBE
Structure: optimized geometry

**Distance to the lowest polymorph of the same formula**: 0.000 eV/atom
**D(E_F)**: 11.43 states/eV/f.u.
**Total moment**: 18.694 μB per cell
**Energy of formation from the pure elements**: 0.155 eV per atom
**Calculated volume**: 114.2 Å³/f.u.

Lattice parameters (Å, degrees): 3.4424 3.4424 33.3851 90.00 90.00 120.00
Space group R3m (No. 160, hexagonal axes)
One atom of each set of equivalent atoms:
1 Y 0.0000 0.0000 0.0000
2 Y 0.0000 0.0000 0.1593
3 Pu 0.0000 0.0000 0.5796
4 Zr 0.0000 0.0000 0.7459



(12)
Compound: YbPu3
Source: the Alexandria database
Functional: PBE
Structure: optimized geometry

**D(E_F)**: 19.59 states/eV/f.u.
**Total moment**: 36.392 μB per cell
**Energy of formation from the pure elements**: 0.288 eV per atom
**Calculated volume**: 115.6 Å³/f.u.

Lattice parameters (Å, degrees): 6.9142 6.9142 5.5838 90.00 90.00 120.00
Space group P6_3/mmc (No. 194)
One atom of each set of equivalent atoms:
1 Yb 0.3333 0.6667 0.2500
2 Pu 0.1625 0.3251 0.7500